VASP calculation (PBE with a Hubbard U) on a relaxed MgMnAs2O6 crystal.

* E: -6.33 eV/atom

Lattice parameters (Å, degrees): 8.1693 8.1693 5.1873 107.87 107.87 62.76
Sites, in units of the cell vectors:
Mg 0.2295 0.7705 0.7500
Mg 0.7705 0.2295 0.2500
Mn 0.4232 0.5768 0.2500
Mn 0.5768 0.4232 0.7500
As 0.0660 0.3036 0.7405
As 0.3036 0.0660 0.2405
As 0.6964 0.9340 0.7595
As 0.9340 0.6964 0.2595
O 0.0757 0.1908 0.3694
O 0.1648 0.6770 0.3370
O 0.1908 0.0757 0.8694
O 0.3230 0.8352 0.1630
O 0.3450 0.5053 0.8543
O 0.4947 0.6550 0.6457
O 0.5053 0.3450 0.3543
O 0.6550 0.4947 0.1457
O 0.6770 0.1648 0.8370
O 0.8092 0.9243 0.1306
O 0.8352 0.3230 0.6630
O 0.9243 0.8092 0.6306